This record from the Alexandria database describes a relaxed Ba2LiY2Fe4O10 crystal. The functional is GGA+U.

CIF file:
```
data_Ba2LiY2Fe4O10
_chemical_formula_sum 'Ba2 Li1 Y2 Fe4 O10'
_cell_length_a 8.090
_cell_length_b 3.849
_cell_length_c 9.023
_cell_angle_alpha 90.00
_cell_angle_beta 91.15
_cell_angle_gamma 90.00
_space_group_name_H-M_alt 'P 1 m 1'
_space_group_IT_number 6
_space_group_name_Hall 'P -2y'
loop_
_atom_site_label
_atom_site_type_symbol
_atom_site_fract_x
_atom_site_fract_y
_atom_site_fract_z
Ba1 Ba 0.000 0.000 0.000
Ba2 Ba 0.452 0.000 0.136
Li1 Li 0.019 0.500 0.245
Y1 Y 0.522 0.000 0.575
Y2 Y 0.994 0.000 0.589
Fe1 Fe 0.256 0.500 0.405
Fe2 Fe 0.289 0.500 0.811
Fe3 Fe 0.752 0.500 0.360
Fe4 Fe 0.752 0.500 0.776
O1 O 0.020 0.500 0.769
O2 O 0.221 0.500 0.167
O3 O 0.257 0.000 0.492
O4 O 0.295 0.000 0.872
O5 O 0.510 0.500 0.705
O6 O 0.514 0.500 0.380
O7 O 0.755 0.000 0.441
O8 O 0.765 0.000 0.761
O9 O 0.807 0.500 0.156
O10 O 0.990 0.500 0.447
```

Relative energy among the computed polymorphs   20.9 meV per atom